No. 1
# SrNbFeN3

Crystalline SrNbFeN3 at its relaxed geometry (PBE, Alexandria via LeMat-Bulk).

a b c (Å): 3.225 7.031 7.607
angles (deg): 107.11 90.00 90.00
Sites, in units of the cell vectors:
N 0.750 0.867 0.138
N 0.250 0.133 0.862
N 0.250 0.553 0.856
Fe 0.750 0.906 0.397
Nb 0.750 0.335 0.860
Nb 0.250 0.665 0.140
N 0.750 0.182 0.535
Fe 0.250 0.094 0.603
N 0.250 0.818 0.465
Sr 0.250 0.198 0.215
N 0.750 0.447 0.144
Sr 0.750 0.802 0.785

Summary:
- raw formation energy (eV/atom) = -0.684

No. 2
# Cr2SbOs

Crystalline Cr2SbOs at its relaxed geometry (PBE, Alexandria via LeMat-Bulk).

a b c (Å): 4.389 4.389 4.389
angles (deg): 60.00 60.00 60.00
Sites, in units of the cell vectors:
Cr 0.250 0.250 0.250
Os 0.500 0.500 0.500
Sb 0.750 0.750 0.750
Cr 0.000 0.000 0.000

Summary:
- raw formation energy (eV/atom) = 0.274

| no. | volume (A^3/atom) | DOS at the Fermi energy (states/eV per cell) | ρ (g/cm3) |
| --- | --- | --- | --- |
| 1 | 13.74 | 3.568 | 5.61 |
| 2 | 14.95 | 3.903 | 11.55 |